Record 1
Density functional theory data (PBEsol) for a relaxed structure of CdTeOs2S. Values from VASP.

Calculated values
Its raw formation energy is 1211.2 meV/atom. Its uncorrected energy is -5.4966 eV per atom. The magnetic moment comes out at 0.001 μB per atom. As for the space group: P4/mmm, No. 123. Its density of states at the Fermi level is 0.9987 states/eV/atom.

```
&SYSTEM
  ibrav = 0, nat = 5, ntyp = 4
/
ATOMIC_SPECIES
Cd 112.41 Cd.upf
Te 127.60 Te.upf
Os 190.23 Os.upf
S 32.06 S.upf
ATOMIC_POSITIONS crystal
Cd 0.000 0.000 0.000
Te 0.500 0.500 0.000
Os 0.000 0.500 0.500
Os 0.500 0.000 0.500
S 0.500 0.500 0.500
CELL_PARAMETERS angstrom
4.317 0.000 0.000
0.000 4.317 0.000
0.000 0.000 5.395
```

***

Record 2
Density functional theory data (PBEsol) for a relaxed structure of CdTeOsS2. Values from VASP.

Calculated values
Its raw formation energy is 247.2 meV/atom. Its uncorrected energy is -4.8943 eV per atom. The magnetic moment comes out at 0.000 μB per atom. As for the space group: P4/mmm, No. 123. Its density of states at the Fermi level is 0.6534 states/eV/atom.

```
&SYSTEM
  ibrav = 0, nat = 5, ntyp = 4
/
ATOMIC_SPECIES
Cd 112.41 Cd.upf
Te 127.60 Te.upf
Os 190.23 Os.upf
S 32.06 S.upf
ATOMIC_POSITIONS crystal
Cd 0.000 0.000 0.000
Te 0.500 0.500 0.000
Os 0.500 0.500 0.500
S 0.000 0.500 0.500
S 0.500 0.000 0.500
CELL_PARAMETERS angstrom
4.435 0.000 0.000
0.000 4.435 0.000
0.000 0.000 5.819
```

***

Record 3
Density functional theory data (PBEsol) for a relaxed structure of CdSb2Os. Values from VASP.

Calculated values
Its raw formation energy is 576.8 meV/atom. Its uncorrected energy is -5.0550 eV per atom. The magnetic moment comes out at 0.000 μB per atom. As for the energy above the most stable polymorph in this dataset: 320 meV per atom. As for the space group: I-42d, No. 122. Its density of states at the Fermi level is 0.5586 states/eV/atom.

```
&SYSTEM
  ibrav = 0, nat = 8, ntyp = 3
/
ATOMIC_SPECIES
Cd 112.41 Cd.upf
Sb 121.76 Sb.upf
Os 190.23 Os.upf
ATOMIC_POSITIONS crystal
Cd 0.000 0.000 0.000
Cd 0.750 0.250 0.500
Sb 0.171 0.625 0.046
Sb 0.375 0.421 0.546
Sb 0.579 0.125 0.954
Sb 0.875 0.829 0.454
Os 0.250 0.750 0.500
Os 0.500 0.500 0.000
CELL_PARAMETERS angstrom
-3.066 3.066 6.228
3.066 -3.066 6.228
3.066 3.066 -6.228
```

***

- Which of these has the highest raw formation energy?
  CdTeOs2S

***

- uncorrected energy of number 2 (CdTeOsS2)?
  -4.8943 eV per atom

***

- The lowest raw formation energy belongs to which entry?
  CdTeOsS2